[1]
Entry from Alexandria via LeMat-Bulk: crystalline La2PmIn at its relaxed geometry (PBE-GGA).

Properties
**Relative energy among the computed polymorphs**: 171 meV per atom

a b c (Å): 11.4753 11.4753 11.4753
angles (deg): 18.81 18.81 18.81
Closest atoms and distances in Å follow each position.
Sites, in units of the cell vectors:
La  0.0000  0.0000  0.0000  3 In 3.40, 3 Pm 3.71, 6 La 3.75
La  0.1780  0.1780  0.1780  3 In 3.40, 3 Pm 3.71, 6 La 3.75
Pm  0.4224  0.4224  0.4224  6 La 3.71, 6 Pm 3.75
In  0.5890  0.5890  0.5890  6 La 3.40, 6 In 3.75

[2]
Entry from Alexandria via LeMat-Bulk: crystalline LaSm2V at its relaxed geometry (PBE-GGA).

a b c (Å): 11.9272 11.9272 11.9272
angles (deg): 16.61 16.61 16.61
Closest atoms and distances in Å follow each position.
Sites, in units of the cell vectors:
La  0.0000  0.0000  0.0000  6 La 3.45, 6 Sm 3.65
Sm  0.4202  0.4202  0.4202  1 V 2.82
Sm  0.5798  0.5798  0.5798  1 V 2.82
V  0.5000  0.5000  0.5000  2 Sm 2.82

no.,total moment (Bohr magnetons per cell),DOS(E_F) (states/eV per cell),ΔH_f (0 K) (meV/atom)
1,0.000,6.26,-118.3
2,3.288,5.74,633.7